Here is Tb8PmY6 after structural relaxation from Alexandria. Energies are from PBE-GGA.

Results
ΔH_f (0 K)	0.1227	eV/atom
E_tot	-78.7	eV/cell

```
Tb8PmY6
1.0
9.074 0.000 0.000
4.537 7.858 0.000
4.537 2.619 6.886
Y Pm Tb
6 1 8
Cartesian
15.581 8.298 6.055
5.902 1.133 0.831
5.141 4.545 0.831
13.007 5.933 6.055
12.245 9.344 6.055
2.567 2.180 0.831
0.000 0.000 0.000
6.317 6.976 2.916
11.831 3.502 3.970
9.199 8.495 3.970
9.074 5.239 1.866
8.948 1.983 2.916
6.191 3.719 3.970
11.957 6.758 2.916
9.074 5.239 5.020
```



Here is Tb4Pm6Y after structural relaxation from Alexandria. Energies are from PBE-GGA.

Results
ΔH_f (0 K)	0.2917	eV/atom
E_tot	-50.3	eV/cell

```
Tb4Pm6Y
1.0
7.544 -3.100 -5.644
-5.254 8.151 2.080
-1.999 3.100 9.207
Y Pm Tb
1 6 4
Cartesian
0.000 0.000 0.000
-4.015 6.229 8.424
3.489 0.120 -1.509
2.773 0.000 1.782
1.145 2.526 -1.782
-1.259 5.023 4.135
-5.177 8.031 5.881
-3.375 5.236 1.424
-1.330 2.064 5.899
0.184 2.916 1.982
-2.440 9.188 7.626
```



Here is Tb5Pm2Y4 after structural relaxation from Alexandria. Energies are from PBE-GGA.

Results
ΔH_f (0 K)	0.0601	eV/atom
E_tot	-57.8	eV/cell

```
Tb5Pm2Y4
1.0
-2.041 -3.063 0.175
0.722 3.414 -9.378
8.581 -7.618 5.443
Y Tb Pm
4 5 2
Cartesian
5.557 -3.803 -1.790
0.078 -0.220 -2.933
1.705 -3.463 -1.969
7.184 -7.047 -0.826
0.184 -4.493 1.085
3.586 -4.540 1.160
-1.021 -1.531 0.088
3.676 -2.727 -4.919
7.078 -2.773 -4.844
2.262 0.397 -5.507
5.000 -7.663 1.748
```



Here is TbPm3Y4 after structural relaxation from Alexandria. Energies are from PBE-GGA.

Results
ΔH_f (0 K)	0.0154	eV/atom
E_tot	-44.6	eV/cell

```
TbPm3Y4
1.0
3.605 0.000 0.000
0.000 11.658 -2.354
0.000 0.140 6.235
Y Pm Tb
4 3 1
Cartesian
1.802 8.791 -0.208
3.605 2.935 0.968
1.803 3.007 4.089
0.000 8.862 2.913
0.000 0.070 3.118
0.000 5.829 -1.177
1.802 5.899 1.941
1.803 0.000 0.000
```



Here is TbPm9Y2 after structural relaxation from Alexandria. Energies are from PBE-GGA.

Results
ΔH_f (0 K)	0.0156	eV/atom
E_tot	-60.1	eV/cell

```
TbPm9Y2
1.0
5.133 0.000 0.000
0.000 5.133 0.000
0.000 0.000 15.398
Pm Tb Y
9 1 2
Cartesian
0.000 2.567 12.838
2.567 2.567 10.266
2.567 0.000 7.699
2.567 2.567 0.000
2.567 0.000 12.838
0.000 2.567 2.561
2.567 2.567 5.133
0.000 2.567 7.699
2.567 0.000 2.561
0.000 0.000 0.000
0.000 0.000 10.266
0.000 0.000 5.133
```



Here is Tb8Pm2Y after structural relaxation from Alexandria. Energies are from PBE-GGA.

Results
ΔH_f (0 K)	0.1509	eV/atom
E_tot	-51.3	eV/cell

```
Tb8Pm2Y
1.0
-0.312 1.742 -5.656
6.494 -1.562 -6.151
-0.318 -7.830 -5.050
Pm Tb Y
2 8 1
Cartesian
1.878 -3.487 -3.833
4.298 -5.904 -7.367
4.203 -2.563 -6.305
3.484 0.338 -7.497
4.867 -3.601 -9.794
0.998 -4.049 -7.063
1.661 -5.086 -10.552
0.308 -0.559 -6.427
5.556 -7.090 -10.430
2.698 -0.157 -4.310
-0.156 0.871 -2.828
```



Here is Tb2Pm5Y5 after structural relaxation from Alexandria. Energies are from PBE-GGA.

Results
ΔH_f (0 K)	0.0160	eV/atom
E_tot	-65.1	eV/cell

```
Tb2Pm5Y5
1.0
-1.044 4.760 1.498
-3.151 -5.110 5.365
11.133 2.054 1.236
Y Pm Tb
5 5 2
Cartesian
5.985 2.559 4.720
2.591 1.587 5.441
4.347 0.117 2.658
0.953 -0.854 3.379
0.000 0.000 0.000
1.651 2.440 2.073
5.287 -0.736 6.026
9.379 3.523 4.020
-2.441 -1.819 4.079
5.044 3.407 1.367
-0.797 0.619 6.155
7.735 1.085 1.944
```



Here is TbPm12Y2 after structural relaxation from Alexandria. Energies are from PBE-GGA.

Results
ΔH_f (0 K)	0.3122	eV/atom
E_tot	-139.8	eV/cell

```
TbPm12Y2
1.0
-3.182 -5.706 0.270
3.375 -2.127 -5.181
17.946 -9.275 15.499
Pm Y Tb
24 4 2
Cartesian
14.332 -12.493 12.960
11.985 -10.061 7.812
14.182 -11.196 9.709
6.058 -3.131 5.232
6.155 -7.047 2.776
3.782 -3.556 -1.708
17.637 -11.762 9.571
1.664 -3.264 0.918
6.300 -8.229 6.097
10.771 -10.794 4.581
2.647 -6.697 -2.274
11.808 -7.592 5.297
9.598 -7.466 7.932
3.958 -5.912 0.879
9.610 -7.726 2.565
3.861 -1.996 3.335
15.590 -14.327 10.406
8.561 -10.668 7.216
7.465 -10.230 3.551
11.888 -6.144 10.267
14.085 -7.279 12.164
16.379 -9.927 12.125
0.529 -6.404 0.353
8.445 -5.726 5.111
6.578 -3.591 1.633
14.743 -7.811 8.685
11.465 -9.601 11.410
3.300 -5.380 4.358
1.688 -1.063 -2.590
-1.591 -2.853 0.135
```



Here is Tb5Pm2Y6 after structural relaxation from Alexandria. Energies are from PBE-GGA.

Results
ΔH_f (0 K)	0.0986	eV/atom
E_tot	-140.3	eV/cell

```
Tb5Pm2Y6
1.0
3.594 0.000 0.000
0.000 11.743 0.000
0.000 0.000 20.369
Pm Y Tb
4 12 10
Cartesian
0.000 3.904 5.855
0.000 1.968 16.040
0.000 9.775 4.329
0.000 7.840 14.514
0.000 4.906 17.686
0.000 5.195 11.809
0.000 0.965 7.501
0.000 6.549 8.560
0.000 0.677 1.625
0.000 10.778 12.868
1.797 9.669 7.511
0.000 6.837 2.683
1.797 3.797 2.674
0.000 11.067 18.744
1.797 7.946 17.695
1.797 2.075 12.858
1.797 3.523 9.183
1.797 4.808 14.774
1.797 5.872 0.000
1.797 8.220 11.186
1.797 1.063 4.590
1.797 2.348 19.367
1.797 10.680 15.779
1.797 0.000 10.184
1.797 9.395 1.002
1.797 6.935 5.595
```



Here is Tb4Pm5Y4 after structural relaxation from Alexandria. Energies are from PBE-GGA.

Results
ΔH_f (0 K)	0.0152	eV/atom
E_tot	-67.9	eV/cell

```
Tb4Pm5Y4
1.0
4.922 0.000 1.251
2.461 9.186 0.626
0.197 0.000 9.528
Pm Y Tb
5 4 4
Cartesian
1.935 1.416 2.693
0.000 0.000 0.000
4.573 7.053 2.624
3.007 2.133 8.782
5.645 7.770 8.713
3.877 2.830 5.361
5.817 4.241 8.037
3.703 6.356 6.044
1.764 4.945 3.369
2.833 5.638 9.466
6.509 8.476 5.316
1.072 0.710 6.090
4.747 3.548 1.939
```



Here is Tb6Pm8Y after structural relaxation from Alexandria. Energies are from PBE-GGA.

Results
ΔH_f (0 K)	0.1227	eV/atom
E_tot	-70.4	eV/cell

```
Tb6Pm8Y
1.0
-4.475 -6.716 4.332
3.934 -8.209 1.022
2.570 -2.902 7.839
Y Tb Pm
1 6 8
Cartesian
0.000 0.000 0.000
-1.718 -4.771 3.368
0.825 -3.008 1.609
3.747 -13.056 9.826
1.334 -6.405 2.541
1.204 -14.819 11.585
0.695 -11.422 10.653
0.374 -9.396 5.188
0.556 -12.147 7.275
3.524 -8.121 4.548
-1.693 -6.967 6.523
1.655 -8.431 8.007
1.473 -5.680 5.919
3.722 -10.860 6.671
-1.495 -9.706 8.646
```



Here is Tb3Pm2Y7 after structural relaxation from Alexandria. Energies are from PBE-GGA.

Results
ΔH_f (0 K)	0.0716	eV/atom
E_tot	-67.8	eV/cell

```
Tb3Pm2Y7
1.0
3.553 0.000 0.000
0.000 6.406 -0.062
0.000 0.161 17.335
Pm Y Tb
2 7 3
Cartesian
1.776 3.311 5.619
1.776 3.257 11.654
1.776 4.923 8.645
1.776 1.644 8.628
1.776 1.148 2.878
0.000 4.364 2.805
0.000 2.204 14.468
1.776 5.419 14.395
0.000 0.000 0.000
1.776 3.203 -0.031
0.000 6.512 11.360
0.000 0.055 5.913
```